# Li2PmCrF8 PBE+U optimized geometry
data_Li2PmCrF8
_chemical_formula_sum 'Li2 Pm1 Cr1 F8'
_cell_length_a 4.625
_cell_length_b 4.849
_cell_length_c 6.905
_cell_angle_alpha 86.36
_cell_angle_beta 88.68
_cell_angle_gamma 87.48
_symmetry_space_group_name_H-M 'P -1'
_symmetry_Int_Tables_number 2
loop_
_symmetry_equiv_pos_as_xyz
'x,y,z'
'-x,-y,-z'
loop_
_atom_site_label
_atom_site_fract_x
_atom_site_fract_y
_atom_site_fract_z
_atom_site_occupancy
Li1 0.027 0.028 0.295 1
Pm1 0.500 0.500 0.000 1
Cr1 0.500 0.500 0.500 1
F1 0.148 0.209 0.044 1
F2 0.203 0.229 0.508 1
F3 0.311 0.700 0.711 1
F4 0.321 0.714 0.277 1
# Density of states at the Fermi level in states/eV per cell: 0.000
# Calculated total energy in eV per atom: -5.79
# Theoretical density in g/cm3: 3.90